Density functional theory data (meta-GGA SCAN) for a PBEsol-optimized structure of SrTl2Pb.

Magnetization   0.000 μB per formula unit
Calculated volume   122.36 Å³/cell
DFT formation energy   -0.32 eV per atom

Lattice parameters (Å, degrees): 3.648 5.616 5.990 90.00 94.44 90.00
Atoms (fractional coordinates):
Tl 0.710 0.000 0.764
Sr 0.000 0.500 0.500
Tl 0.290 0.000 0.236
Pb 0.500 0.500 0.000